Record 1
{
  "formula": "Na3CdH",
  "functional": "PBEsol",
  "state": "relaxed",
  "spacegroup": "No. 221",
  "dos_at_fermi_per_ev_fu": 2.57,
  "final_energy_ev_per_atom": -1.740,
  "lattice_angstrom": [[4.766, 0.000, 0.000], [0.000, 4.766, 0.000], [0.000, 0.000, 4.766]],
  "species": ["Na", "Na", "Na", "Cd", "H"],
  "frac_coords": [[0.000, 0.000, 0.500], [0.000, 0.500, 0.000], [0.500, 0.000, 0.000], [0.500, 0.500, 0.500], [0.000, 0.000, 0.000]]
}

=====

Record 2
{
  "formula": "Na2CdH4Se2O10",
  "functional": "PBEsol",
  "state": "relaxed",
  "spacegroup": "No. 14",
  "dos_at_fermi_per_ev_fu": 0.00,
  "final_energy_ev_per_atom": -5.189,
  "lattice_angstrom": [[5.981, 0.000, 0.000], [0.000, 13.261, 0.000], [-1.638, 0.000, 5.586]],
  "species": ["Na", "Na", "Na", "Na", "Cd", "Cd", "H", "H", "H", "H", "H", "H", "H", "H", "Se", "Se", "Se", "Se", "O", "O", "O", "O", "O", "O", "O", "O", "O", "O", "O", "O", "O", "O", "O", "O", "O", "O", "O", "O"],
  "frac_coords": [[0.084, 0.121, 0.246], [0.084, 0.379, 0.746], [0.916, 0.621, 0.254], [0.916, 0.879, 0.754], [0.500, 0.000, 0.000], [0.500, 0.500, 0.500], [0.184, 0.160, 0.817], [0.184, 0.340, 0.317], [0.405, 0.210, 0.003], [0.405, 0.290, 0.503], [0.595, 0.710, 0.497], [0.595, 0.790, 0.997], [0.816, 0.660, 0.683], [0.816, 0.840, 0.183], [0.259, 0.619, 0.925], [0.259, 0.881, 0.425], [0.741, 0.119, 0.575], [0.741, 0.381, 0.075], [0.042, 0.701, 0.902], [0.042, 0.799, 0.402], [0.209, 0.554, 0.669], [0.209, 0.946, 0.169], [0.243, 0.539, 0.141], [0.243, 0.961, 0.641], [0.306, 0.147, 0.973], [0.306, 0.353, 0.473], [0.482, 0.174, 0.510], [0.482, 0.326, 0.010], [0.518, 0.674, 0.990], [0.518, 0.826, 0.490], [0.694, 0.647, 0.527], [0.694, 0.853, 0.027], [0.757, 0.039, 0.359], [0.757, 0.461, 0.859], [0.791, 0.054, 0.831], [0.791, 0.446, 0.331], [0.958, 0.201, 0.598], [0.958, 0.299, 0.098]]
}

=====

Record 3
{
  "formula": "NaCdSbH2",
  "functional": "PBEsol",
  "state": "relaxed",
  "spacegroup": "No. 123",
  "dos_at_fermi_per_ev_fu": 1.32,
  "final_energy_ev_per_atom": -2.387,
  "lattice_angstrom": [[4.138, 0.000, 0.000], [0.000, 4.138, 0.000], [0.000, 0.000, 6.057]],
  "species": ["Na", "Cd", "Sb", "H", "H"],
  "frac_coords": [[0.000, 0.000, 0.000], [0.500, 0.500, 0.000], [0.000, 0.000, 0.500], [0.000, 0.500, 0.500], [0.500, 0.000, 0.500]]
}

=====

Record 4
{
  "formula": "Cd2NiH",
  "functional": "PBEsol",
  "state": "relaxed",
  "spacegroup": "No. 225",
  "dos_at_fermi_per_ev_fu": 2.17,
  "final_energy_ev_per_atom": -2.428,
  "lattice_angstrom": [[6.103, 0.000, 0.000], [0.000, 6.103, 0.000], [0.000, 0.000, 6.103]],
  "species": ["Cd", "Cd", "Cd", "Cd", "Cd", "Cd", "Cd", "Cd", "Ni", "Ni", "Ni", "Ni", "H", "H", "H", "H"],
  "frac_coords": [[0.250, 0.250, 0.250], [0.250, 0.250, 0.750], [0.250, 0.750, 0.250], [0.250, 0.750, 0.750], [0.750, 0.250, 0.250], [0.750, 0.250, 0.750], [0.750, 0.750, 0.250], [0.750, 0.750, 0.750], [0.000, 0.000, 0.000], [0.000, 0.500, 0.500], [0.500, 0.000, 0.500], [0.500, 0.500, 0.000], [0.000, 0.000, 0.500], [0.000, 0.500, 0.000], [0.500, 0.000, 0.000], [0.500, 0.500, 0.500]]
}

=====

Record 5
{
  "formula": "CdNi2H",
  "functional": "PBEsol",
  "state": "relaxed",
  "spacegroup": "No. 227",
  "dos_at_fermi_per_ev_fu": 2.71,
  "final_energy_ev_per_atom": -4.207,
  "lattice_angstrom": [[0.000, 3.544, 3.544], [3.544, 0.000, 3.544], [3.544, 3.544, 0.000]],
  "species": ["Cd", "Cd", "Ni", "Ni", "Ni", "Ni", "H", "H"],
  "frac_coords": [[0.125, 0.125, 0.125], [0.875, 0.875, 0.875], [0.000, 0.500, 0.500], [0.500, 0.000, 0.500], [0.500, 0.500, 0.000], [0.500, 0.500, 0.500], [0.375, 0.375, 0.375], [0.625, 0.625, 0.625]]
}

=====

Record 6
{
  "formula": "CdNiH2",
  "functional": "PBEsol",
  "state": "relaxed",
  "spacegroup": "No. 122",
  "dos_at_fermi_per_ev_fu": 0.88,
  "final_energy_ev_per_atom": -3.384,
  "lattice_angstrom": [[4.216, 0.000, 0.000], [0.000, 4.216, 0.000], [0.000, 0.000, 8.456]],
  "species": ["Cd", "Cd", "Cd", "Cd", "Ni", "Ni", "Ni", "Ni", "H", "H", "H", "H", "H", "H", "H", "H"],
  "frac_coords": [[0.000, 0.000, 0.000], [0.000, 0.500, 0.250], [0.500, 0.000, 0.750], [0.500, 0.500, 0.500], [0.000, 0.000, 0.500], [0.000, 0.500, 0.750], [0.500, 0.000, 0.250], [0.500, 0.500, 0.000], [0.138, 0.250, 0.625], [0.250, 0.638, 0.875], [0.250, 0.862, 0.375], [0.362, 0.250, 0.125], [0.638, 0.750, 0.125], [0.750, 0.138, 0.375], [0.750, 0.362, 0.875], [0.862, 0.750, 0.625]]
}

=====

Record 7
{
  "formula": "CdH2O2",
  "functional": "PBEsol",
  "state": "relaxed",
  "spacegroup": "No. 8",
  "relative_energy_ev_per_atom": 0.000,
  "dos_at_fermi_per_ev_fu": 0.00,
  "lattice_angstrom": [[3.286, -5.021, 0.000], [3.286, 5.021, 0.000], [-1.709, 0.000, 2.968]],
  "species": ["Cd", "Cd", "H", "H", "H", "H", "O", "O", "O", "O"],
  "frac_coords": [[0.156, 0.844, 0.000], [0.844, 0.156, 0.000], [0.322, 0.322, 0.967], [0.379, 0.644, 0.500], [0.644, 0.379, 0.500], [0.726, 0.726, 0.228], [0.323, 0.323, 0.255], [0.399, 0.828, 0.610], [0.828, 0.399, 0.610], [0.899, 0.899, 0.390]]
}

=====

Record 8
{
  "formula": "CdH2O2",
  "functional": "PBEsol",
  "state": "relaxed",
  "spacegroup": "No. 164",
  "relative_energy_ev_per_atom": 0.017,
  "dos_at_fermi_per_ev_fu": 0.00,
  "lattice_angstrom": [[3.512, 0.000, 0.000], [-1.756, 3.041, 0.000], [0.000, 0.000, 4.560]],
  "species": ["Cd", "H", "H", "O", "O"],
  "frac_coords": [[0.000, 0.000, 0.000], [0.333, 0.667, 0.457], [0.667, 0.333, 0.543], [0.333, 0.667, 0.242], [0.667, 0.333, 0.758]]
}

=====

Record 9
{
  "formula": "CdP2H6O7",
  "functional": "PBEsol",
  "state": "relaxed",
  "spacegroup": "No. 2",
  "dos_at_fermi_per_ev_fu": 0.00,
  "final_energy_ev_per_atom": -5.679,
  "lattice_angstrom": [[6.709, 0.000, 0.000], [-0.508, 7.408, 0.000], [-2.791, -3.309, 6.572]],
  "species": ["Cd", "Cd", "P", "P", "P", "P", "H", "H", "H", "H", "H", "H", "H", "H", "H", "H", "H", "H", "O", "O", "O", "O", "O", "O", "O", "O", "O", "O", "O", "O", "O", "O"],
  "frac_coords": [[0.070, 0.263, 0.367], [0.930, 0.737, 0.633], [0.191, 0.249, 0.843], [0.383, 0.742, 0.526], [0.617, 0.258, 0.474], [0.809, 0.751, 0.157], [0.127, 0.833, 0.058], [0.141, 0.434, 0.938], [0.312, 0.766, 0.971], [0.352, 0.941, 0.588], [0.399, 0.248, 0.135], [0.468, 0.301, 0.694], [0.532, 0.699, 0.306], [0.601, 0.752, 0.865], [0.648, 0.059, 0.412], [0.688, 0.234, 0.029], [0.859, 0.566, 0.062], [0.873, 0.167, 0.942], [0.001, 0.920, 0.220], [0.152, 0.756, 0.934], [0.187, 0.614, 0.515], [0.248, 0.249, 0.671], [0.377, 0.670, 0.309], [0.393, 0.250, 0.322], [0.411, 0.245, 0.004], [0.589, 0.755, 0.996], [0.607, 0.750, 0.678], [0.623, 0.330, 0.691], [0.752, 0.751, 0.329], [0.813, 0.386, 0.485], [0.848, 0.244, 0.066], [0.999, 0.080, 0.780]]
}

=====

Record 10
{
  "formula": "CdPHO2",
  "functional": "PBEsol",
  "state": "relaxed",
  "spacegroup": "No. 123",
  "dos_at_fermi_per_ev_fu": 4.65,
  "final_energy_ev_per_atom": -2.945,
  "lattice_angstrom": [[3.989, 0.000, 0.000], [0.000, 3.989, 0.000], [0.000, 0.000, 5.340]],
  "species": ["Cd", "P", "H", "O", "O"],
  "frac_coords": [[0.000, 0.000, 0.000], [0.000, 0.000, 0.500], [0.500, 0.500, 0.500], [0.000, 0.500, 0.000], [0.500, 0.000, 0.000]]
}

=====

Record 11
{
  "formula": "CdH4S2O5",
  "functional": "PBEsol",
  "state": "relaxed",
  "spacegroup": "No. 14",
  "dos_at_fermi_per_ev_fu": 0.00,
  "final_energy_ev_per_atom": -5.167,
  "lattice_angstrom": [[5.577, 0.000, 0.000], [0.000, 7.142, 0.000], [-2.564, 0.000, 13.957]],
  "species": ["Cd", "Cd", "Cd", "Cd", "H", "H", "H", "H", "H", "H", "H", "H", "H", "H", "H", "H", "H", "H", "H", "H", "S", "S", "S", "S", "S", "S", "S", "S", "O", "O", "O", "O", "O", "O", "O", "O", "O", "O", "O", "O", "O", "O", "O", "O", "O", "O", "O", "O"],
  "frac_coords": [[0.129, 0.147, 0.182], [0.129, 0.353, 0.682], [0.871, 0.647, 0.318], [0.871, 0.853, 0.818], [0.196, 0.636, 0.499], [0.196, 0.864, 0.999], [0.269, 0.137, 0.993], [0.269, 0.363, 0.493], [0.349, 0.158, 0.547], [0.349, 0.342, 0.047], [0.377, 0.630, 0.425], [0.377, 0.870, 0.925], [0.623, 0.130, 0.075], [0.623, 0.370, 0.575], [0.651, 0.658, 0.953], [0.651, 0.842, 0.453], [0.731, 0.637, 0.507], [0.731, 0.863, 0.007], [0.804, 0.136, 0.001], [0.804, 0.364, 0.501], [0.011, 0.000, 0.330], [0.011, 0.500, 0.830], [0.295, 0.654, 0.157], [0.295, 0.846, 0.657], [0.705, 0.154, 0.343], [0.705, 0.346, 0.843], [0.989, 0.000, 0.670], [0.989, 0.500, 0.170], [0.200, 0.661, 0.619], [0.200, 0.839, 0.119], [0.213, 0.582, 0.436], [0.213, 0.918, 0.936], [0.333, 0.203, 0.055], [0.333, 0.297, 0.555], [0.412, 0.558, 0.087], [0.412, 0.942, 0.587], [0.449, 0.675, 0.252], [0.449, 0.825, 0.752], [0.551, 0.175, 0.248], [0.551, 0.325, 0.748], [0.588, 0.058, 0.413], [0.588, 0.442, 0.913], [0.667, 0.703, 0.445], [0.667, 0.797, 0.945], [0.787, 0.082, 0.064], [0.787, 0.418, 0.564], [0.800, 0.161, 0.881], [0.800, 0.339, 0.381]]
}

=====

Record 12
{
  "formula": "CdH2S2O8",
  "functional": "PBEsol",
  "state": "relaxed",
  "spacegroup": "No. 14",
  "dos_at_fermi_per_ev_fu": 0.00,
  "final_energy_ev_per_atom": -5.787,
  "lattice_angstrom": [[5.292, 0.000, 0.000], [0.000, 12.826, 0.000], [-0.565, 0.000, 8.817]],
  "species": ["Cd", "Cd", "Cd", "Cd", "H", "H", "H", "H", "H", "H", "H", "H", "S", "S", "S", "S", "S", "S", "S", "S", "O", "O", "O", "O", "O", "O", "O", "O", "O", "O", "O", "O", "O", "O", "O", "O", "O", "O", "O", "O", "O", "O", "O", "O", "O", "O", "O", "O", "O", "O", "O", "O"],
  "frac_coords": [[0.210, 0.044, 0.251], [0.210, 0.456, 0.751], [0.790, 0.544, 0.249], [0.790, 0.956, 0.749], [0.056, 0.232, 0.822], [0.056, 0.268, 0.322], [0.450, 0.719, 0.449], [0.450, 0.781, 0.949], [0.550, 0.219, 0.051], [0.550, 0.281, 0.551], [0.944, 0.732, 0.678], [0.944, 0.768, 0.178], [0.268, 0.648, 0.051], [0.268, 0.852, 0.551], [0.292, 0.094, 0.875], [0.292, 0.406, 0.375], [0.708, 0.594, 0.625], [0.708, 0.906, 0.125], [0.732, 0.148, 0.449], [0.732, 0.352, 0.949], [0.027, 0.669, 0.126], [0.027, 0.831, 0.626], [0.132, 0.166, 0.770], [0.132, 0.334, 0.270], [0.164, 0.508, 0.372], [0.164, 0.992, 0.872], [0.245, 0.549, 0.973], [0.245, 0.951, 0.473], [0.286, 0.738, 0.935], [0.286, 0.762, 0.435], [0.309, 0.140, 0.030], [0.309, 0.360, 0.530], [0.456, 0.588, 0.683], [0.456, 0.912, 0.183], [0.488, 0.656, 0.159], [0.488, 0.844, 0.659], [0.512, 0.156, 0.341], [0.512, 0.344, 0.841], [0.544, 0.088, 0.817], [0.544, 0.412, 0.317], [0.691, 0.640, 0.470], [0.691, 0.860, 0.970], [0.714, 0.238, 0.565], [0.714, 0.262, 0.065], [0.755, 0.049, 0.527], [0.755, 0.451, 0.027], [0.836, 0.008, 0.128], [0.836, 0.492, 0.628], [0.868, 0.666, 0.730], [0.868, 0.834, 0.230], [0.973, 0.169, 0.374], [0.973, 0.331, 0.874]]
}

=====

- Which formula does entry 4 have?
  Cd2NiH

=====

- Number 5 is which compound?
  CdNi2H